Record 1
Material: PaTiV2
Method: DFT, GGA-PBE
State: relaxed

Summary:
Calculated volume: 16.80 A^3/atom
DFT total energy: -8.87 eV per atom
Formation energy: 0.033 eV/atom
Energy relative to the lowest polymorph listed for this composition: 0.000 eV/atom

abc: 6.4531 6.4531 6.4531
angles: 90.00 90.00 90.00
Closest atoms and distances in Å follow each position.
Space group Fm-3m (No. 225)
Asymmetric unit:
Pa 0.0000 0.0000 0.0000 x4  8 V 2.79
Ti 0.0000 0.0000 0.5000 x4  8 V 2.79
V 0.2500 0.2500 0.2500 x8  4 Pa 2.79, 4 Ti 2.79

Record 2
Material: PaTiV
Method: DFT, GGA-PBE
State: relaxed

Summary:
Calculated volume: 17.91 A^3/atom
DFT total energy: -8.64 eV per atom
Formation energy: 0.197 eV/atom
Energy relative to the lowest polymorph listed for this composition: 0.089 eV/atom

abc: 5.7662 4.5159 8.2548
angles: 90.00 90.00 90.00
Closest atoms and distances in Å follow each position.
Space group Pnma (No. 62)
Asymmetric unit:
Pa 0.1697 0.2500 0.1026 x4  3 V 2.72-2.94, 5 Ti 2.73-3.00
Ti 0.1524 0.2500 0.4335 x4  5 Pa 2.73-3.00, 3 V 2.85-2.94
V 0.0115 0.2500 0.7643 x4  3 Pa 2.72-2.94, 3 Ti 2.85-2.94, 2 V 2.89

Record 3
Material: PaTiV2
Method: DFT, GGA-PBE
State: relaxed

Summary:
Calculated volume: 16.85 A^3/atom
DFT total energy: -8.75 eV per atom
Formation energy: 0.154 eV/atom
Energy relative to the lowest polymorph listed for this composition: 0.121 eV/atom

abc: 4.5457 4.5457 3.2612
angles: 90.00 90.00 90.00
Closest atoms and distances in Å follow each position.
Space group P4/mmm (No. 123)
Asymmetric unit:
Pa 0.0000 0.0000 0.0000 x1  8 V 2.80
Ti 0.5000 0.5000 0.0000 x1  8 V 2.80
V 0.0000 0.5000 0.5000 x2  4 Pa 2.80, 4 Ti 2.80

Record 4
Material: PaTiVW
Method: DFT, GGA-PBE
State: relaxed

Summary:
Calculated volume: 17.55 A^3/atom
DFT total energy: -9.80 eV per atom
Formation energy: 0.066 eV/atom

abc: 6.5487 6.5487 6.5487
angles: 90.00 90.00 90.00
Closest atoms and distances in Å follow each position.
Space group F-43m (No. 216)
Asymmetric unit:
Pa 0.0000 0.0000 0.0000 x4  4 W 2.84, 4 V 2.84
Ti 0.0000 0.0000 0.5000 x4  4 W 2.84, 4 V 2.84
V 0.2500 0.2500 0.7500 x4  4 Pa 2.84, 4 Ti 2.84
W 0.2500 0.2500 0.2500 x4  4 Pa 2.84, 4 Ti 2.84

Record 5
Material: ZrPaTiV
Method: DFT, GGA-PBE
State: relaxed

Summary:
Calculated volume: 19.53 A^3/atom
DFT total energy: -8.63 eV per atom
Formation energy: 0.136 eV/atom

abc: 6.7858 6.7858 6.7858
angles: 90.00 90.00 90.00
Closest atoms and distances in Å follow each position.
Space group F-43m (No. 216)
Asymmetric unit:
Zr 0.0000 0.0000 0.0000 x4  4 Ti 2.94, 4 V 2.94
Pa 0.0000 0.0000 0.5000 x4  4 V 2.94, 4 Ti 2.94
Ti 0.2500 0.2500 0.2500 x4  4 Zr 2.94, 4 Pa 2.94
V 0.2500 0.2500 0.7500 x4  4 Zr 2.94, 4 Pa 2.94

Record 6
Material: Pa2TiW
Method: DFT, GGA-PBE
State: relaxed

Summary:
Calculated volume: 20.69 A^3/atom
DFT total energy: -9.51 eV per atom
Formation energy: 0.445 eV/atom
Energy relative to the lowest polymorph listed for this composition: 0.096 eV/atom

abc: 2.9804 2.9804 32.2789
angles: 90.00 90.00 120.00
Closest atoms and distances in Å follow each position.
Space group R-3m (No. 166, hexagonal axes)
Asymmetric unit:
Pa 0.0000 0.0000 0.0854 x6  1 Ti 2.76, 6 Pa 2.98
Ti 0.0000 0.0000 0.0000 x3  2 Pa 2.76, 6 Ti 2.98
W 0.0000 0.0000 0.5000 x3  6 W 2.98, 6 Pa 3.14

Record 7
Material: PaTiW2
Method: DFT, GGA-PBE
State: relaxed

Summary:
Calculated volume: 18.31 A^3/atom
DFT total energy: -10.59 eV per atom
Formation energy: 0.236 eV/atom
Energy relative to the lowest polymorph listed for this composition: 0.114 eV/atom

abc: 3.3652 3.3652 6.4659
angles: 90.00 90.00 90.00
Closest atoms and distances in Å follow each position.
Space group P4/mmm (No. 123)
Asymmetric unit:
Pa 0.0000 0.0000 0.0000 x1  8 W 2.92, 2 Ti 3.23
Ti 0.0000 0.0000 0.5000 x1  8 W 2.84
W 0.5000 0.5000 0.2604 x2  4 Ti 2.84, 4 Pa 2.92, 1 W 3.10

Record 8
Material: PaTi2W
Method: DFT, GGA-PBE
State: relaxed

Summary:
Calculated volume: 19.15 A^3/atom
DFT total energy: -9.30 eV per atom
Formation energy: 0.263 eV/atom
Energy relative to the lowest polymorph listed for this composition: 0.160 eV/atom

abc: 3.0774 3.0774 28.0159
angles: 90.00 90.00 120.00
Closest atoms and distances in Å follow each position.
Space group R-3m (No. 166, hexagonal axes)
Asymmetric unit:
Pa 0.0000 0.0000 0.0000 x3  6 Pa 3.08, 6 Ti 3.22
Ti 0.0000 0.0000 0.2377 x6  3 W 2.67
W 0.0000 0.0000 0.5000 x3  6 Ti 2.67

Record 9
Material: Pa2TiW
Method: DFT, GGA-PBE
State: relaxed

Summary:
Calculated volume: 21.67 A^3/atom
DFT total energy: -9.61 eV per atom
Formation energy: 0.349 eV/atom
Energy relative to the lowest polymorph listed for this composition: 0.000 eV/atom

abc: 3.4789 3.4789 7.1609
angles: 90.00 90.00 90.00
Closest atoms and distances in Å follow each position.
Space group P4/mmm (No. 123)
Asymmetric unit:
Pa 0.0000 0.0000 0.2401 x2  4 W 3.00, 4 Ti 3.08
Ti 0.5000 0.5000 0.5000 x1  8 Pa 3.08
W 0.5000 0.5000 0.0000 x1  8 Pa 3.00

Record 10
Material: PaTi2W
Method: DFT, GGA-PBE
State: relaxed

Summary:
Calculated volume: 18.06 A^3/atom
DFT total energy: -9.46 eV per atom
Formation energy: 0.104 eV/atom
Energy relative to the lowest polymorph listed for this composition: 0.001 eV/atom

abc: 6.6106 6.6106 6.6106
angles: 90.00 90.00 90.00
Closest atoms and distances in Å follow each position.
Space group Fm-3m (No. 225)
Asymmetric unit:
Pa 0.0000 0.0000 0.0000 x4  8 Ti 2.86
Ti 0.2500 0.2500 0.2500 x8  4 W 2.86, 4 Pa 2.86
W 0.0000 0.0000 0.5000 x4  8 Ti 2.86

Record 11
Material: PaTiW2
Method: DFT, GGA-PBE
State: relaxed

Summary:
Calculated volume: 18.19 A^3/atom
DFT total energy: -10.70 eV per atom
Formation energy: 0.122 eV/atom
Energy relative to the lowest polymorph listed for this composition: 0.000 eV/atom

abc: 6.6264 6.6264 6.6264
angles: 90.00 90.00 90.00
Closest atoms and distances in Å follow each position.
Space group Fm-3m (No. 225)
Asymmetric unit:
Pa 0.0000 0.0000 0.0000 x4  8 W 2.87
Ti 0.0000 0.0000 0.5000 x4  8 W 2.87
W 0.2500 0.2500 0.2500 x8  4 Pa 2.87, 4 Ti 2.87

Record 12
Material: PaTi2W
Method: DFT, GGA-PBE
State: relaxed

Summary:
Calculated volume: 18.93 A^3/atom
DFT total energy: -9.46 eV per atom
Formation energy: 0.104 eV/atom
Energy relative to the lowest polymorph listed for this composition: 0.000 eV/atom

abc: 3.1551 3.1551 7.6081
angles: 90.00 90.00 90.00
Closest atoms and distances in Å follow each position.
Space group P4/mmm (No. 123)
Asymmetric unit:
Pa 0.0000 0.0000 0.0000 x1  4 Pa 3.16, 8 Ti 3.18
Ti 0.5000 0.5000 0.2977 x2  4 W 2.71
W 0.0000 0.0000 0.5000 x1  8 Ti 2.71